# 1
Entry from the Alexandria database: crystalline TmThZnNi at its relaxed geometry (PBE-GGA).

For the volume, the calculation gives 21.78 A^3/atom. As for the density: 10.006 g/cm³. The total energy comes out at -5.00 eV per atom. The formation energy is -267 meV per atom.

It has space group F-43m (No. 216), with a = 7.0376 Å, b = 7.0376 Å, c = 7.0376 Å, α = 90.00°, β = 90.00° and γ = 90.00°. Symmetry generates all atoms from Tm at (0.0000, 0.0000, 0.0000), Th at (0.0000, 0.0000, 0.5000), Zn at (0.2500, 0.2500, 0.2500) and Ni at (0.2500, 0.2500, 0.7500).

=====

# 2
Entry from the Alexandria database: crystalline Th2UNi at its relaxed geometry (PBE-GGA).

For the volume, the calculation gives 25.50 A^3/atom. As for the density: 12.386 g/cm³. The total energy comes out at -7.53 eV per atom. The formation energy is 444 meV per atom.

It has space group R-3m (No. 166, hexagonal axes), with a = 3.3901 Å, b = 3.3901 Å, c = 30.7423 Å, α = 90.00°, β = 90.00° and γ = 120.00°. Symmetry generates all atoms from Th at (0.0000, 0.0000, 0.1011), U at (0.0000, 0.0000, 0.0000) and Ni at (0.0000, 0.0000, 0.5000).

=====

# 3
Entry from the Alexandria database: crystalline ThUNi17 at its relaxed geometry (PBE-GGA).

For the volume, the calculation gives 12.60 A^3/atom. As for the density: 10.182 g/cm³. The total energy comes out at -6.34 eV per atom. The formation energy is -187 meV per atom.

It has space group R3m (No. 160, hexagonal axes), with a = 8.2818 Å, b = 8.2818 Å, c = 12.0907 Å, α = 90.00°, β = 90.00° and γ = 120.00°. Symmetry generates all atoms from Th at (0.0000, 0.0000, 0.0000), U at (0.0000, 0.0000, 0.6698), Ni at (0.0000, 0.0000, 0.2409), Ni at (0.0000, 0.0000, 0.4410), Ni at (0.0004, 0.5002, 0.8379), Ni at (0.0024, 0.5012, 0.1844), Ni at (0.0028, 0.2990, 0.3382) and Ni at (0.0064, 0.5032, 0.4908).

=====

# 4
Entry from the Alexandria database: crystalline ThU2Ni9 at its relaxed geometry (PBE-GGA).

For the volume, the calculation gives 14.29 A^3/atom. As for the density: 11.975 g/cm³. The total energy comes out at -7.17 eV per atom. The formation energy is -334 meV per atom.

It has space group R-3m (No. 166, hexagonal axes), with a = 4.8990 Å, b = 4.8990 Å, c = 24.7443 Å, α = 90.00°, β = 90.00° and γ = 120.00°. Symmetry generates all atoms from Th at (0.0000, 0.0000, 0.0000), U at (0.0000, 0.0000, 0.1425), Ni at (0.0000, 0.0000, 0.3331), Ni at (0.0000, 0.0000, 0.5000) and Ni at (0.9998, 0.4999, 0.0839).

=====

# 5
Entry from the Alexandria database: crystalline ThUNi10 at its relaxed geometry (PBE-GGA).

For the volume, the calculation gives 13.68 A^3/atom. As for the density: 10.692 g/cm³. The total energy comes out at -6.69 eV per atom. The formation energy is -312 meV per atom.

It has space group Pmmm (No. 47), with a = 3.9910 Å, b = 4.8729 Å, c = 8.4411 Å, α = 90.00°, β = 90.00° and γ = 90.00°. Symmetry generates all atoms from Th at (0.0000, 0.0000, 0.0000), U at (0.0000, 0.5000, 0.5000), Ni at (0.0000, 0.0000, 0.3404), Ni at (0.0000, 0.5000, 0.1778), Ni at (0.5000, 0.0000, 0.5000), Ni at (0.5000, 0.2537, 0.2562) and Ni at (0.5000, 0.5000, 0.0000).

=====

# 6
Entry from the Alexandria database: crystalline ThVNi3 at its relaxed geometry (PBE-GGA).

For the volume, the calculation gives 16.16 A^3/atom. As for the density: 9.434 g/cm³. The total energy comes out at -6.97 eV per atom. The formation energy is -190 meV per atom.

It has space group P6_3/mmc (No. 194), with a = 5.9900 Å, b = 5.9900 Å, c = 5.2003 Å, α = 90.00°, β = 90.00° and γ = 120.00°. Symmetry generates all atoms from Th at (0.3333, 0.6667, 0.2500), V at (0.0000, 0.0000, 0.0000) and Ni at (0.1974, 0.3948, 0.7500).

=====

# 7
Entry from the Alexandria database: crystalline Th2VNi at its relaxed geometry (PBE-GGA).

For the volume, the calculation gives 24.35 A^3/atom. As for the density: 9.781 g/cm³. The total energy comes out at -6.85 eV per atom. The formation energy is 588 meV per atom.

It has space group R-3m (No. 166, hexagonal axes), with a = 3.4418 Å, b = 3.4418 Å, c = 28.4832 Å, α = 90.00°, β = 90.00° and γ = 120.00°. Symmetry generates all atoms from Th at (0.0000, 0.0000, 0.0964), V at (0.0000, 0.0000, 0.0000) and Ni at (0.0000, 0.0000, 0.5000).

=====

# 8
Entry from the Alexandria database: crystalline Th2V2Ni15 at its relaxed geometry (PBE-GGA).

For the volume, the calculation gives 13.06 A^3/atom. As for the density: 9.681 g/cm³. The total energy comes out at -6.60 eV per atom. The formation energy is -297 meV per atom.

It has space group R-3m (No. 166, hexagonal axes), with a = 8.3466 Å, b = 8.3466 Å, c = 12.3357 Å, α = 90.00°, β = 90.00° and γ = 120.00°. Symmetry generates all atoms from Th at (0.0000, 0.0000, 0.1575), V at (0.0000, 0.0000, 0.4109), Ni at (0.0000, 0.2982, 0.5000), Ni at (0.0000, 0.5000, 0.0000) and Ni at (0.0030, 0.5015, 0.3431).